This record from the Alexandria database describes TiAlSn2Cl after structural relaxation. The functional is PBE.

Values from the calculation:
* VASP energy: -4.20 eV per atom
* Fermi-level density of states: 5.00 states/eV per cell

abc: 5.461 5.461 4.579
angles: 90.00 90.00 90.00
Space group P4/mmm (No. 123)
Asymmetric unit:
1 Ti 0.000 0.000 0.000 (multiplicity 1)
2 Al 0.500 0.500 0.500 (multiplicity 1)
3 Sn 0.000 0.500 0.000 (multiplicity 2)
4 Cl 0.000 0.000 0.500 (multiplicity 1)